# 1
Computed, not measured: a relaxed structure of Nd6Tl3Zn at the PBE-GGA level of DFT.

```
Nd6Tl3Zn
1.0
9.556 0.000 0.000
0.000 5.422 0.000
-3.586 0.000 11.493
Nd Tl Zn
12 6 2
Cartesian
-1.204 1.356 4.666 Nd
0.984 4.067 1.998 Nd
2.521 1.356 0.033 Nd
0.493 4.067 9.498 Nd
2.286 1.356 3.979 Nd
1.614 1.356 7.185 Nd
4.355 4.067 4.308 Nd
3.684 4.067 7.514 Nd
5.477 1.356 1.995 Nd
3.449 4.067 11.461 Nd
4.986 1.356 9.495 Nd
7.174 4.067 6.827 Nd
-2.866 4.067 10.169 Tl
-1.377 1.356 8.309 Tl
0.887 4.067 5.414 Tl
5.082 1.356 6.079 Tl
7.347 4.067 3.184 Tl
8.835 1.356 1.325 Tl
4.010 4.067 1.189 Zn
1.960 1.356 10.304 Zn
```

Output
Relative energy among the computed polymorphs   0.0 meV per atom
E_form   -2.71 eV/f.u.
E_tot   -79.39 eV/cell
Space-group type   P2_1/m (11)

---

# 2
Computed, not measured: a relaxed structure of ScMo2Ir at the PBE-GGA level of DFT.

```
ScMo2Ir
1.0
3.223 0.000 0.000
0.000 4.640 0.000
0.000 0.000 8.793
Sc Mo Ir
2 4 2
Cartesian
0.000 0.000 0.000 Sc
1.612 2.320 4.397 Sc
0.000 0.000 4.317 Mo
0.000 2.320 6.730 Mo
1.612 0.000 2.334 Mo
1.612 2.320 8.714 Mo
0.000 2.320 2.121 Ir
1.612 0.000 6.518 Ir
```

Output
Relative energy among the computed polymorphs   145.6 meV per atom
E_form   -0.46 eV/f.u.
E_tot   -74.64 eV/cell
Space-group type   Imm2 (44)